a | Material: K2FeBr
Method: DFT, PBE-GGA
State: optimized geometry

Calculated values
DOS(E_F): 2.49 states/eV/f.u.
space-group type: Amm2
crystal system: orthorhombic

Cell: 5.4044 6.7931 6.7931 Å, 36.20 90.00 90.00°
Closest atoms and distances in Å follow each position.
Sites, in units of the cell vectors:
K 0.0000 0.0000 0.0000  3 Fe 3.42-3.70, 4 Br 3.44
K 0.5000 0.2470 0.2470  4 Fe 3.43, 3 Br 3.50-3.63
Fe 0.0000 0.7350 0.7350  7 K 3.42-3.70
Br 0.5000 0.5182 0.5182  7 K 3.44-3.63

=====

b | Material: K2FeBr
Method: DFT, PBE-GGA
State: optimized geometry

Calculated values
DOS(E_F): 1.84 states/eV/f.u.
space-group type: C2/m
crystal system: monoclinic

Cell: 5.8792 5.8792 3.9639 Å, 90.10 90.10 89.88°
Closest atoms and distances in Å follow each position.
Sites, in units of the cell vectors:
K 0.0000 0.5000 0.0000  4 Fe 3.54-3.55, 4 Br 3.54-3.55, 2 K 3.96
K 0.5000 0.0000 0.0000  4 Fe 3.54-3.55, 4 Br 3.54-3.55, 2 K 3.96
Fe 0.0000 0.0000 0.5000  8 K 3.54-3.55, 2 Fe 3.96
Br 0.5000 0.5000 0.5000  8 K 3.54-3.55, 2 Br 3.96

=====

Winner for stability: b

=====

a | Material: K2FeBr
Method: DFT, PBE-GGA
State: optimized geometry

Calculated values
DOS(E_F): 3.69 states/eV/f.u.
space-group type: P2/m
crystal system: monoclinic

Cell: 3.9540 4.0054 8.5630 Å, 90.00 90.94 90.00°
Closest atoms and distances in Å follow each position.
Sites, in units of the cell vectors:
K 0.0078 0.0000 0.2291  4 Br 3.43, 4 Fe 3.61-3.68
K 0.9922 0.0000 0.7709  4 Br 3.43, 4 Fe 3.61-3.68
Fe 0.5000 0.5000 0.5000  8 K 3.61-3.68, 4 Fe 3.95-4.01
Br 0.5000 0.5000 0.0000  8 K 3.43

=====

b | Material: K2FeBr
Method: DFT, PBE-GGA
State: optimized geometry

Calculated values
DOS(E_F): 1.97 states/eV/f.u.
space-group type: C2/m
crystal system: monoclinic

Cell: 4.5511 4.5511 9.2386 Å, 104.51 104.51 59.51°
Closest atoms and distances in Å follow each position.
Sites, in units of the cell vectors:
K 0.2441 0.2441 0.2272  3 Br 3.30-3.31, 3 Fe 3.55-3.59
K 0.7559 0.7559 0.7728  3 Br 3.30-3.31, 3 Fe 3.55-3.59
Fe 0.0000 0.0000 0.5000  6 K 3.55-3.59
Br 0.5000 0.5000 0.0000  6 K 3.30-3.31

=====

Winner for stability: a

=====

a | Material: KFeBr4
Method: DFT, PBE-GGA
State: optimized geometry

Calculated values
space-group type: Pnna
crystal system: orthorhombic

Cell: 7.7393 10.8272 10.6221 Å, 90.00 90.00 90.00°
Closest atoms and distances in Å follow each position.
Sites, in units of the cell vectors:
K 0.1708 0.2500 0.2500  8 Br 3.46-3.53
K 0.3292 0.7500 0.2500  8 Br 3.46-3.53
K 0.6708 0.2500 0.7500  8 Br 3.46-3.53
K 0.8292 0.7500 0.7500  8 Br 3.46-3.53
Fe 0.2500 0.0000 0.6795  4 Br 2.36-2.37
Fe 0.2500 0.5000 0.8205  4 Br 2.36-2.37
Fe 0.7500 0.0000 0.3205  4 Br 2.36-2.37
Fe 0.7500 0.5000 0.1795  4 Br 2.36-2.37
Br 0.0065 0.0374 0.8092  1 Fe 2.37
Br 0.0065 0.4626 0.6908  1 Fe 2.37
Br 0.1847 0.6745 0.9441  1 Fe 2.36
Br 0.1847 0.8255 0.5559  1 Fe 2.36
Br 0.3153 0.1745 0.5559  1 Fe 2.36
Br 0.3153 0.3255 0.9441  1 Fe 2.36
Br 0.4935 0.5374 0.6908  1 Fe 2.37
Br 0.4935 0.9626 0.8092  1 Fe 2.37
Br 0.5065 0.0374 0.1908  1 Fe 2.37
Br 0.5065 0.4626 0.3092  1 Fe 2.37
Br 0.6847 0.6745 0.0559  1 Fe 2.36
Br 0.6847 0.8255 0.4441  1 Fe 2.36
Br 0.8153 0.1745 0.4441  1 Fe 2.36
Br 0.8153 0.3255 0.0559  1 Fe 2.36
Br 0.9935 0.5374 0.3092  1 Fe 2.37
Br 0.9935 0.9626 0.1908  1 Fe 2.37

=====

b | Material: KFeBr4
Method: DFT, PBE-GGA
State: optimized geometry

Calculated values
space-group type: I4_1/amd
crystal system: tetragonal

Cell: 8.7008 8.7008 8.7008 Å, 103.91 103.91 121.27°
Closest atoms and distances in Å follow each position.
Sites, in units of the cell vectors:
K 0.3750 0.6250 0.7500  8 Br 3.43-3.54
K 0.6250 0.3750 0.2500  8 Br 3.43-3.54
Fe 0.1250 0.8750 0.2500  4 Br 2.36
Fe 0.8750 0.1250 0.7500  4 Br 2.36
Br 0.1374 0.7106 0.4269  1 Fe 2.36
Br 0.2163 0.2894 0.9269  1 Fe 2.36
Br 0.2894 0.2163 0.4269  1 Fe 2.36
Br 0.2894 0.8626 0.0731  1 Fe 2.36
Br 0.7106 0.1374 0.9269  1 Fe 2.36
Br 0.7106 0.7837 0.5731  1 Fe 2.36
Br 0.7837 0.7106 0.0731  1 Fe 2.36
Br 0.8626 0.2894 0.5731  1 Fe 2.36

=====

Winner for stability: a

=====

a | Material: KFeBr4
Method: DFT, PBE-GGA
State: optimized geometry

Calculated values
DOS(E_F): 1.75 states/eV/f.u.
space-group type: C2/m
crystal system: monoclinic

Cell: 11.7346 11.7346 9.2599 Å, 112.99 112.99 26.06°
Closest atoms and distances in Å follow each position.
Sites, in units of the cell vectors:
K 0.2414 0.2414 0.2404  7 Br 3.24-3.53
K 0.7586 0.7586 0.7596  7 Br 3.24-3.53
Fe 0.4091 0.4091 0.9057  6 Br 2.50-2.65
Fe 0.5909 0.5909 0.0943  6 Br 2.50-2.65
Br 0.0866 0.0866 0.0849  2 Fe 2.65
Br 0.3256 0.3256 0.0191  1 Fe 2.52
Br 0.3269 0.3269 0.6279  1 Fe 2.50
Br 0.4992 0.4992 0.1859  2 Fe 2.56-2.59
Br 0.5008 0.5008 0.8141  2 Fe 2.56-2.59
Br 0.6731 0.6731 0.3721  1 Fe 2.50
Br 0.6744 0.6744 0.9809  1 Fe 2.52
Br 0.9134 0.9134 0.9151  2 Fe 2.65

=====

b | Material: KFeBr4
Method: DFT, PBE-GGA
State: optimized geometry

Calculated values
DOS(E_F): 16.20 states/eV/f.u.
space-group type: F-43m
crystal system: cubic

Cell: 6.5510 6.5510 6.5510 Å, 60.00 60.00 60.00°
Closest atoms and distances in Å follow each position.
Sites, in units of the cell vectors:
K 0.0000 0.0000 0.0000  12 Br 3.84, 4 Fe 4.01
Fe 0.2500 0.2500 0.2500  12 Br 3.84, 4 K 4.01
Br 0.1264 0.6245 0.6245  6 Br 3.26-3.29
Br 0.6245 0.1264 0.6245  6 Br 3.26-3.29
Br 0.6245 0.6245 0.1264  6 Br 3.26-3.29
Br 0.6245 0.6245 0.6245  6 Br 3.26-3.29

=====

Winner for stability: a

=====

a | Material: KFeSeBr2
Method: DFT, PBE-GGA
State: optimized geometry

Calculated values
DOS(E_F): 6.52 states/eV/f.u.
space-group type: P4/mmm
crystal system: tetragonal

Cell: 5.8555 5.8555 5.8517 Å, 90.00 90.00 90.00°
Closest atoms and distances in Å follow each position.
Sites, in units of the cell vectors:
K 0.0000 0.0000 0.0000  2 Se 2.93, 4 Br 2.93
Fe 0.5000 0.5000 0.5000  8 Br 4.14, 4 Se 4.14
Se 0.0000 0.0000 0.5000  2 K 2.93
Br 0.0000 0.5000 0.0000  2 K 2.93
Br 0.5000 0.0000 0.0000  2 K 2.93

=====

b | Material: KFeSeBr2
Method: DFT, PBE-GGA
State: optimized geometry

Calculated values
DOS(E_F): 6.85 states/eV/f.u.
space-group type: P4/mmm
crystal system: tetragonal

Cell: 5.3525 5.3525 4.4777 Å, 90.00 90.00 90.00°
Closest atoms and distances in Å follow each position.
Sites, in units of the cell vectors:
K 0.0000 0.0000 0.0000  8 Br 3.49, 4 Se 3.78
Fe 0.5000 0.5000 0.5000  2 Se 2.24
Se 0.5000 0.5000 0.0000  2 Fe 2.24
Br 0.0000 0.5000 0.5000  2 Fe 2.68
Br 0.5000 0.0000 0.5000  2 Fe 2.68

=====

Winner for stability: b

=====

a | Material: LaFeBr2
Method: DFT, PBE-GGA
State: optimized geometry

Calculated values
DOS(E_F): 3.87 states/eV/f.u.
space-group type: I4/mmm
crystal system: tetragonal

Cell: 5.4521 5.4521 5.4521 Å, 127.51 127.51 77.42°
Closest atoms and distances in Å follow each position.
Sites, in units of the cell vectors:
La 0.0000 0.0000 0.0000  8 Br 3.22, 4 Fe 3.41
Fe 0.5000 0.5000 0.0000  8 Br 3.22, 4 La 3.41
Br 0.2500 0.7500 0.5000  4 La 3.22, 4 Fe 3.22, 4 Br 3.41
Br 0.7500 0.2500 0.5000  4 La 3.22, 4 Fe 3.22, 4 Br 3.41

=====

b | Material: LaFeBr2
Method: DFT, PBE-GGA
State: optimized geometry

Calculated values
DOS(E_F): 3.45 states/eV/f.u.
space-group type: P4mm
crystal system: tetragonal

Cell: 3.6365 3.6365 8.5657 Å, 90.00 90.00 90.00°
Closest atoms and distances in Å follow each position.
Sites, in units of the cell vectors:
La 0.0000 0.0000 0.0000  5 Br 3.06-3.22, 4 Fe 3.24
Fe 0.5000 0.5000 0.7693  4 Br 2.79
Br 0.0000 0.0000 0.6422  4 Fe 2.79, 1 La 3.06
Br 0.5000 0.5000 0.2265  4 La 3.22

=====

c | Material: LaFeBr2
Method: DFT, PBE-GGA
State: optimized geometry

Calculated values
DOS(E_F): 2.31 states/eV/f.u.
space-group type: Imm2
crystal system: orthorhombic

Cell: 7.8213 7.8213 7.8213 Å, 152.88 148.63 41.93°
Closest atoms and distances in Å follow each position.
Sites, in units of the cell vectors:
La 0.0000 0.0000 0.0000  2 Fe 2.79, 2 Br 3.10
Fe 0.8558 0.3558 0.5000  2 La 2.79, 4 Br 2.80
Br 0.3446 0.8446 0.5000  4 Fe 2.80, 2 La 3.10
Br 0.6057 0.6057 0.0000  4 La 3.20

=====

Winner for stability: b

=====

a | Material: LaFeBr2
Method: DFT, PBE-GGA
State: optimized geometry

Calculated values
DOS(E_F): 8.36 states/eV/f.u.
space-group type: F-43m
crystal system: cubic

Cell: 5.2863 5.2863 5.2863 Å, 60.00 60.00 60.00°
Closest atoms and distances in Å follow each position.
Sites, in units of the cell vectors:
La 0.0000 0.0000 0.0000  4 Br 3.24, 4 Fe 3.24
Fe 0.2500 0.2500 0.2500  4 La 3.24, 4 Br 3.24
Br 0.5000 0.5000 0.5000  4 Fe 3.24, 4 Br 3.24
Br 0.7500 0.7500 0.7500  4 La 3.24, 4 Br 3.24

=====

b | Material: LaFeBr2
Method: DFT, PBE-GGA
State: optimized geometry

Calculated values
DOS(E_F): 3.75 states/eV/f.u.
space-group type: C2/m
crystal system: monoclinic

Cell: 5.9114 5.9114 4.1063 Å, 110.10 110.10 109.06°
Closest atoms and distances in Å follow each position.
Sites, in units of the cell vectors:
La 0.0000 0.0000 0.0000  4 Br 2.96
Fe 0.5000 0.5000 0.0000  4 Br 2.96
Br 0.0000 0.5000 0.0000  2 La 2.96, 2 Fe 2.96
Br 0.5000 0.0000 0.0000  2 La 2.96, 2 Fe 2.96

=====

c | Material: LaFeBr2
Method: DFT, PBE-GGA
State: optimized geometry

Calculated values
DOS(E_F): 5.95 states/eV/f.u.
space-group type: R-3m
crystal system: trigonal

Cell: 8.1108 8.1108 8.1108 Å, 26.87 26.87 26.87°
Closest atoms and distances in Å follow each position.
Sites, in units of the cell vectors:
La 0.0000 0.0000 0.0000  6 Br 3.22
Fe 0.5000 0.5000 0.5000  6 Br 2.66
Br 0.2322 0.2322 0.2322  3 Fe 2.66
Br 0.7678 0.7678 0.7678  3 Fe 2.66

=====

Winner for stability: b

=====

a | Material: LaFeBr2
Method: DFT, PBE-GGA
State: optimized geometry

Calculated values
DOS(E_F): 5.30 states/eV/f.u.
space-group type: I-42d
crystal system: tetragonal

Cell: 10.2131 10.2131 10.2131 Å, 152.45 152.45 39.36°
Closest atoms and distances in Å follow each position.
Sites, in units of the cell vectors:
La 0.0000 0.0000 0.0000  4 Br 2.98
La 0.7500 0.2500 0.5000  4 Br 2.98
Fe 0.2500 0.7500 0.5000  4 Br 2.93
Fe 0.5000 0.5000 0.0000  4 Br 2.93
Br 0.1377 0.6250 0.0127  2 Fe 2.93, 2 La 2.98
Br 0.3750 0.3877 0.5127  2 Fe 2.93, 2 La 2.98
Br 0.6123 0.1250 0.9873  2 Fe 2.93, 2 La 2.98
Br 0.8750 0.8623 0.4873  2 Fe 2.93, 2 La 2.98

=====

b | Material: LaFeBr2
Method: DFT, PBE-GGA
State: optimized geometry

Calculated values
DOS(E_F): 0.46 states/eV/f.u.
space-group type: Fm-3m
crystal system: cubic

Cell: 5.2099 5.2099 5.2099 Å, 60.00 60.00 60.00°
Closest atoms and distances in Å follow each position.
Sites, in units of the cell vectors:
La 0.0000 0.0000 0.0000  8 Br 3.19
Fe 0.5000 0.5000 0.5000  8 Br 3.19
Br 0.2500 0.2500 0.2500  4 La 3.19, 4 Fe 3.19
Br 0.7500 0.7500 0.7500  4 La 3.19, 4 Fe 3.19

=====

Winner for stability: b

=====

a | Material: LaFeBr2
Method: DFT, PBE-GGA
State: optimized geometry

Calculated values
DOS(E_F): 3.72 states/eV/f.u.
space-group type: R-3m
crystal system: trigonal

Cell: 9.4541 9.4541 9.4541 Å, 22.62 22.62 22.62°
Closest atoms and distances in Å follow each position.
Sites, in units of the cell vectors:
La 0.0000 0.0000 0.0000  2 Br 3.06
Fe 0.5000 0.5000 0.5000  6 Br 2.64
Br 0.1107 0.1107 0.1107  3 Fe 2.64
Br 0.8893 0.8893 0.8893  3 Fe 2.64

=====

b | Material: LaFeBr2
Method: DFT, PBE-GGA
State: optimized geometry

Calculated values
DOS(E_F): 2.44 states/eV/f.u.
space-group type: P4/mmm
crystal system: tetragonal

Cell: 3.8218 3.8218 6.9781 Å, 90.00 90.00 90.00°
Closest atoms and distances in Å follow each position.
Sites, in units of the cell vectors:
La 0.0000 0.0000 0.0000  8 Br 3.17, 2 Fe 3.49
Fe 0.0000 0.0000 0.5000  8 Br 3.26, 2 La 3.49
Br 0.5000 0.5000 0.2386  4 La 3.17, 4 Fe 3.26, 1 Br 3.33
Br 0.5000 0.5000 0.7614  4 La 3.17, 4 Fe 3.26, 1 Br 3.33

=====

c | Material: LaFeBr2
Method: DFT, PBE-GGA
State: optimized geometry

Calculated values
DOS(E_F): 4.25 states/eV/f.u.
space-group type: Cmmm
crystal system: orthorhombic

Cell: 3.7410 3.7410 8.7611 Å, 90.00 90.00 121.50°
Closest atoms and distances in Å follow each position.
Sites, in units of the cell vectors:
La 0.0000 0.0000 0.0000  4 Br 3.15
Fe 0.0000 0.0000 0.5000  4 Br 2.57
Br 0.5000 0.5000 0.2932  2 Fe 2.57
Br 0.5000 0.5000 0.7068  2 Fe 2.57

=====

d | Material: LaFeBr2
Method: DFT, PBE-GGA
State: optimized geometry

Calculated values
DOS(E_F): 4.03 states/eV/f.u.
space-group type: P2/m
crystal system: monoclinic

Cell: 3.6318 4.0541 6.4795 Å, 90.00 94.75 90.00°
Closest atoms and distances in Å follow each position.
Sites, in units of the cell vectors:
La 0.0000 0.0000 0.0000  8 Br 3.16-3.19
Fe 0.5000 0.0000 0.5000  4 Br 2.59
Br 0.4708 0.5000 0.7463  2 Fe 2.59
Br 0.5292 0.5000 0.2537  2 Fe 2.59

=====

Winner for stability: d

=====

a | Material: LiFeBr
Method: DFT, PBE-GGA
State: optimized geometry

Calculated values
DOS(E_F): 2.26 states/eV/f.u.
space-group type: Fmm2
crystal system: orthorhombic

Cell: 6.5467 6.2250 3.2362 Å, 80.91 69.87 29.22°
Closest atoms and distances in Å follow each position.
Sites, in units of the cell vectors:
Li 0.0000 0.0000 0.0000  2 Br 2.60, 2 Fe 2.81
Fe 0.3184 0.3184 0.6816  2 Br 2.61, 2 Li 2.81
Br 0.6588 0.6588 0.3412  2 Li 2.60, 2 Fe 2.61

=====

b | Material: LiFeBr
Method: DFT, PBE-GGA
State: optimized geometry

Calculated values
DOS(E_F): 3.05 states/eV/f.u.
space-group type: P3m1
crystal system: trigonal

Cell: 3.2902 3.2902 5.9552 Å, 90.00 90.00 120.00°
Closest atoms and distances in Å follow each position.
Sites, in units of the cell vectors:
Li 0.0000 0.0000 0.0000  3 Br 2.72, 3 Fe 2.88
Fe 0.6667 0.3333 0.6357  3 Br 2.64, 3 Li 2.88
Br 0.3333 0.6667 0.3278  3 Fe 2.64, 3 Li 2.72

=====

c | Material: LiFeBr
Method: DFT, PBE-GGA
State: optimized geometry

Calculated values
DOS(E_F): 1.30 states/eV/f.u.
space-group type: F-43m
crystal system: cubic

Cell: 4.1648 4.1648 4.1648 Å, 60.00 60.00 60.00°
Closest atoms and distances in Å follow each position.
Sites, in units of the cell vectors:
Li 0.0000 0.0000 0.0000  4 Br 2.55
Fe 0.5000 0.5000 0.5000  4 Br 2.55
Br 0.7500 0.7500 0.7500  4 Fe 2.55, 4 Li 2.55

=====

Winner for stability: b

=====

a | Material: Li2FeBr
Method: DFT, PBE-GGA
State: optimized geometry

Calculated values
DOS(E_F): 1.63 states/eV/f.u.
space-group type: Amm2
crystal system: orthorhombic

Cell: 3.3800 6.3928 6.3928 Å, 31.21 90.00 90.00°
Closest atoms and distances in Å follow each position.
Sites, in units of the cell vectors:
Li 0.0000 0.0000 0.0000  1 Br 2.70, 4 Fe 2.72, 4 Li 2.90
Li 0.5000 0.3694 0.3694  4 Br 2.65, 1 Fe 2.87, 4 Li 2.90
Fe 0.5000 0.6027 0.6027  5 Li 2.72-2.87, 2 Br 2.77
Br 0.0000 0.7808 0.7808  5 Li 2.65-2.70, 2 Fe 2.77

=====

b | Material: Li2FeBr
Method: DFT, PBE-GGA
State: optimized geometry

Calculated values
DOS(E_F): 1.44 states/eV/f.u.
space-group type: I-42d
crystal system: tetragonal

Cell: 5.9900 5.9900 5.9900 Å, 108.64 108.64 111.15°
Closest atoms and distances in Å follow each position.
Sites, in units of the cell vectors:
Li 0.0971 0.6250 0.9721  2 Br 2.49, 2 Fe 2.75
Li 0.3750 0.3471 0.4721  2 Br 2.49, 2 Fe 2.75
Li 0.6529 0.1250 0.0279  2 Br 2.49, 2 Fe 2.75
Li 0.8750 0.9029 0.5279  2 Br 2.49, 2 Fe 2.75
Fe 0.2500 0.7500 0.5000  4 Li 2.75
Fe 0.5000 0.5000 0.0000  4 Li 2.75
Br 0.0000 0.0000 0.0000  4 Li 2.49
Br 0.7500 0.2500 0.5000  4 Li 2.49

=====

Winner for stability: a